# 1
Compound: Ce2TeCl5
Source: Alexandria via LeMat-Bulk
Functional: PBE
Structure: relaxed

Cell: 4.535 8.708 10.571 Å, 90.00 90.00 90.00°
Sites, in units of the cell vectors:
1 Ce 0.000 0.000 0.241
2 Ce 0.000 0.000 0.759
3 Ce 0.500 0.500 0.259
4 Ce 0.500 0.500 0.741
5 Te 0.000 0.500 0.500
6 Te 0.500 0.000 0.000
7 Cl 0.000 0.000 0.500
8 Cl 0.000 0.318 0.166
9 Cl 0.000 0.318 0.834
10 Cl 0.000 0.682 0.166
11 Cl 0.000 0.682 0.834
12 Cl 0.500 0.182 0.334
13 Cl 0.500 0.182 0.666
14 Cl 0.500 0.500 0.000
15 Cl 0.500 0.818 0.334
16 Cl 0.500 0.818 0.666

Calculated values
**Size of the total moment**: 0.99 μB per formula unit
**E_form (uncorrected)**: -175.8 kJ/mol of atoms
**DFT total energy**: -4.85 eV per atom
**SG**: Immm, No. 71

# 2
Compound: MnAlH2Au
Source: Alexandria via LeMat-Bulk
Functional: PBE
Structure: relaxed

Cell: 3.545 3.545 5.518 Å, 90.00 90.00 90.00°
Sites, in units of the cell vectors:
1 Mn 0.000 0.000 0.000
2 Al 0.500 0.500 0.500
3 H 0.000 0.500 0.000
4 H 0.500 0.000 0.000
5 Au 0.000 0.000 0.500

Calculated values
**Size of the total moment**: 3.67 μB per formula unit
**DFT total energy**: -4.38 eV per atom
**SG**: P4/mmm, No. 123

# 3
Compound: ErHfAs2Rh5
Source: Alexandria via LeMat-Bulk
Functional: PBE
Structure: relaxed

Cell: 4.190 4.190 8.620 Å, 90.00 90.00 90.00°
Sites, in units of the cell vectors:
1 Er 0.000 0.000 0.000
2 Hf 0.000 0.000 0.500
3 As 0.500 0.500 0.361
4 As 0.500 0.500 0.639
5 Rh 0.000 0.500 0.238
6 Rh 0.000 0.500 0.762
7 Rh 0.500 0.000 0.238
8 Rh 0.500 0.000 0.762
9 Rh 0.500 0.500 0.000

Calculated values
**Size of the total moment**: 0.00 μB per formula unit
**DFT total energy**: -7.35 eV per atom
**SG**: P4/mmm, No. 123

# 4
Compound: Mg4Hg3Bi
Source: Alexandria via LeMat-Bulk
Functional: PBE
Structure: relaxed

Cell: 9.438 9.438 9.438 Å, 29.99 29.99 29.99°
Sites, in units of the cell vectors:
1 Mg 0.115 0.115 0.115
2 Mg 0.372 0.372 0.372
3 Mg 0.628 0.628 0.628
4 Mg 0.885 0.885 0.885
5 Hg 0.000 0.000 0.000
6 Hg 0.256 0.256 0.256
7 Hg 0.744 0.744 0.744
8 Bi 0.500 0.500 0.500

Calculated values
**Size of the total moment**: 0.00 μB per formula unit
**DFT total energy**: -1.58 eV per atom
**SG**: R-3m, No. 166

# 5
Compound: Na2Be2HgI6
Source: Alexandria via LeMat-Bulk
Functional: PBE
Structure: relaxed

Cell: 8.197 8.940 9.222 Å, 117.58 116.15 90.10°
Sites, in units of the cell vectors:
1 Na 0.153 0.318 0.308
2 Na 0.847 0.682 0.692
3 Be 0.142 0.718 0.284
4 Be 0.858 0.282 0.716
5 Hg 0.500 0.000 0.000
6 I 0.082 0.391 0.679
7 I 0.083 0.901 0.163
8 I 0.404 0.609 0.322
9 I 0.596 0.391 0.678
10 I 0.917 0.099 0.837
11 I 0.918 0.609 0.321

Calculated values
**Size of the total moment**: 0.00 μB per formula unit
**E_form (uncorrected)**: -64.9 kJ/mol of atoms
**DFT total energy**: -2.46 eV per atom
**SG**: P-1, No. 2

# 6
Compound: DySeClO3
Source: Alexandria via LeMat-Bulk
Functional: PBE
Structure: relaxed

Cell: 7.402 7.025 8.838 Å, 90.00 90.00 90.00°
Sites, in units of the cell vectors:
1 Dy 0.103 0.250 0.040
2 Dy 0.397 0.750 0.540
3 Dy 0.603 0.250 0.460
4 Dy 0.897 0.750 0.960
5 Se 0.213 0.250 0.632
6 Se 0.287 0.750 0.132
7 Se 0.713 0.250 0.868
8 Se 0.787 0.750 0.368
9 Cl 0.066 0.750 0.683
10 Cl 0.434 0.250 0.183
11 Cl 0.566 0.750 0.817
12 Cl 0.934 0.250 0.317
13 O 0.139 0.573 0.068
14 O 0.139 0.927 0.068
15 O 0.250 0.250 0.822
16 O 0.250 0.750 0.322
17 O 0.361 0.073 0.568
18 O 0.361 0.427 0.568
19 O 0.639 0.573 0.432
20 O 0.639 0.927 0.432
21 O 0.750 0.250 0.678
22 O 0.750 0.750 0.178
23 O 0.861 0.073 0.932
24 O 0.861 0.427 0.932

Calculated values
**Size of the total moment**: 0.00 μB per formula unit
**E_form (uncorrected)**: -196.7 kJ/mol of atoms
**DFT total energy**: -6.17 eV per atom
**SG**: Pnma, No. 62

# 7
Compound: LaTaMoOs
Source: Alexandria via LeMat-Bulk
Functional: PBE
Structure: relaxed

Cell: 6.722 6.722 6.722 Å, 90.00 90.00 90.00°
Sites, in units of the cell vectors:
1 La 0.000 0.000 0.000
2 La 0.000 0.500 0.500
3 La 0.500 0.000 0.500
4 La 0.500 0.500 0.000
5 Ta 0.000 0.000 0.500
6 Ta 0.000 0.500 0.000
7 Ta 0.500 0.000 0.000
8 Ta 0.500 0.500 0.500
9 Mo 0.250 0.250 0.750
10 Mo 0.250 0.750 0.250
11 Mo 0.750 0.250 0.250
12 Mo 0.750 0.750 0.750
13 Os 0.250 0.250 0.250
14 Os 0.250 0.750 0.750
15 Os 0.750 0.250 0.750
16 Os 0.750 0.750 0.250

Calculated values
**Size of the total moment**: 0.00 μB per formula unit
**DFT total energy**: -9.43 eV per atom
**SG**: F-43m, No. 216

# 8
Compound: K2TiMnSe5
Source: Alexandria via LeMat-Bulk
Functional: PBE
Structure: relaxed

Cell: 9.924 9.924 13.788 Å, 90.00 90.00 157.39°
Sites, in units of the cell vectors:
1 K 0.117 0.883 0.500
2 K 0.142 0.858 0.862
3 K 0.858 0.142 0.362
4 K 0.883 0.117 0.000
5 Ti 0.200 0.800 0.210
6 Ti 0.800 0.200 0.710
7 Mn 0.432 0.568 0.600
8 Mn 0.568 0.432 0.100
9 Se 0.056 0.944 0.198
10 Se 0.310 0.690 0.829
11 Se 0.314 0.686 0.574
12 Se 0.318 0.682 0.174
13 Se 0.482 0.518 0.453
14 Se 0.518 0.482 0.953
15 Se 0.682 0.318 0.674
16 Se 0.686 0.314 0.074
17 Se 0.690 0.310 0.329
18 Se 0.944 0.056 0.698

Calculated values
**Size of the total moment**: 3.00 μB per formula unit
**E_form (uncorrected)**: -85.5 kJ/mol of atoms
**DFT total energy**: -4.96 eV per atom
**SG**: Cmc2_1, No. 36

# 9
Compound: MgBH
Source: Alexandria via LeMat-Bulk
Functional: PBE
Structure: relaxed

Cell: 3.091 3.829 5.472 Å, 88.98 89.72 89.95°
Sites, in units of the cell vectors:
1 Mg 0.249 0.494 0.242
2 Mg 0.751 0.506 0.758
3 B 0.251 0.000 0.935
4 B 0.749 0.000 0.065
5 H 0.253 0.991 0.709
6 H 0.747 0.009 0.291

Calculated values
**Size of the total moment**: 0.00 μB per formula unit
**DFT total energy**: -3.89 eV per atom
**SG**: P-1, No. 2

# 10
Compound: BiTe3Au
Source: Alexandria via LeMat-Bulk
Functional: PBE
Structure: relaxed

Cell: 5.420 5.420 5.420 Å, 90.00 90.00 90.00°
Sites, in units of the cell vectors:
1 Bi 0.000 0.000 0.000
2 Te 0.000 0.500 0.500
3 Te 0.500 0.000 0.500
4 Te 0.500 0.500 0.000
5 Au 0.500 0.500 0.500

Calculated values
**Size of the total moment**: 0.00 μB per formula unit
**E_form (uncorrected)**: 36.3 kJ/mol of atoms
**DFT total energy**: -2.94 eV per atom
**SG**: Pm-3m, No. 221

# 11
Compound: NdGaPdPt
Source: Alexandria via LeMat-Bulk
Functional: PBE
Structure: relaxed

Cell: 4.018 4.134 10.751 Å, 90.00 90.00 90.00°
Sites, in units of the cell vectors:
1 Nd 0.000 0.000 0.000
2 Nd 0.500 0.500 0.500
3 Ga 0.000 0.500 0.248
4 Ga 0.500 0.000 0.748
5 Pd 0.000 0.000 0.369
6 Pd 0.500 0.500 0.869
7 Pt 0.000 0.000 0.617
8 Pt 0.500 0.500 0.117

Calculated values
**Size of the total moment**: 0.00 μB per formula unit
**DFT total energy**: -5.50 eV per atom
**SG**: Imm2, No. 44

# 12
Compound: RbI2O2
Source: Alexandria via LeMat-Bulk
Functional: PBE
Structure: relaxed

Cell: 4.437 4.437 6.717 Å, 90.00 90.00 90.00°
Sites, in units of the cell vectors:
1 Rb 0.000 0.000 0.000
2 I 0.500 0.500 0.000
3 I 0.500 0.500 0.500
4 O 0.000 0.500 0.500
5 O 0.500 0.000 0.500

Calculated values
**Size of the total moment**: 0.00 μB per formula unit
**E_form (uncorrected)**: -21.5 kJ/mol of atoms
**DFT total energy**: -3.02 eV per atom
**SG**: P4/mmm, No. 123